# GGA-PBE TlHg3O4, relaxed
data_TlHg3O4
_symmetry_space_group_name_H-M 'C 1 m 1'
_symmetry_Int_Tables_number 8
_symmetry_space_group_name_Hall 'C -2y'
_cell_length_a 13.2341
_cell_length_b 3.6372
_cell_length_c 8.5696
_cell_angle_alpha 90.00
_cell_angle_beta 127.25
_cell_angle_gamma 90.00
loop_
_atom_site_label
_atom_site_fract_x
_atom_site_fract_y
_atom_site_fract_z
_atom_site_occupancy
Tl1 0.0000 0.0000 0.0000 1
Hg1 0.1467 0.5000 0.7949 1
Hg2 0.2267 0.5000 0.4573 1
Hg3 0.3655 0.0000 0.2385 1
O1 0.0149 0.5000 0.8436 1
O2 0.2266 0.0000 0.2787 1
O3 0.2833 0.5000 0.7561 1
O4 0.4972 0.0000 0.1843 1
# magnetic moment: 0.00 μB per formula unit
# density of states at the Fermi level: 1.80 states/eV per cell
# formation energy without anion corrections: -247 kJ/mol of formula units

=====

# GGA-PBE Ac2Zn2Se, relaxed
data_Ac2Zn2Se
_symmetry_space_group_name_H-M 'R -3 m'
_symmetry_Int_Tables_number 166
_symmetry_space_group_name_Hall '-R 3 2"'
_cell_length_a 4.4905
_cell_length_b 4.4905
_cell_length_c 24.4314
_cell_angle_alpha 90.00
_cell_angle_beta 90.00
_cell_angle_gamma 120.00
loop_
_atom_site_label
_atom_site_fract_x
_atom_site_fract_y
_atom_site_fract_z
_atom_site_occupancy
Ac1 0.0000 0.0000 0.0886 1
Zn1 0.0000 0.0000 0.3327 1
Se1 0.0000 0.0000 0.5000 1
# magnetic moment: 0.00 μB per formula unit
# density of states at the Fermi level: 14.88 states/eV per cell
# formation energy without anion corrections: -446 kJ/mol of formula units